Below is LiSm2Mg after structural relaxation, with properties calculated at the PBE level.

- E (eV/atom) = -3.05
- formation energy (eV per formula unit) = 0.7

Cell lengths 12.2147, 12.2147, 12.2147 Å; angles 16.05, 16.05, 16.05 degrees
Positions (direct):
Li 0.0000 0.0000 0.0000
Sm 0.0914 0.0914 0.0914
Sm 0.9086 0.9086 0.9086
Mg 0.5000 0.5000 0.5000

Below is LiSm2Mg after structural relaxation, with properties calculated at the PBE level.

- E (eV/atom) = -3.23
- formation energy (eV per formula unit) = 0.0

Cell lengths 3.8399, 3.8399, 7.5509 Å; angles 90.00, 90.00, 90.00 degrees
Positions (direct):
Li 0.0000 0.0000 0.0000
Sm 0.5000 0.5000 0.2506
Sm 0.5000 0.5000 0.7494
Mg 0.0000 0.0000 0.5000

Below is LiSm6Mg after structural relaxation, with properties calculated at the PBE level.

- E (eV/atom) = -3.84
- formation energy (eV per formula unit) = 1.1

Cell lengths 6.3163, 6.3216, 6.3288 Å; angles 90.07, 91.05, 90.65 degrees
Positions (direct):
Li 0.0000 0.0000 0.0000
Sm 0.0290 0.5255 0.2517
Sm 0.2517 0.0319 0.5197
Sm 0.4791 0.7476 0.9675
Sm 0.5209 0.2524 0.0325
Sm 0.7483 0.9681 0.4803
Sm 0.9710 0.4745 0.7483
Mg 0.5000 0.5000 0.5000

Below is LiSm2Mg3 after structural relaxation, with properties calculated at the PBE level.

- E (eV/atom) = -2.73
- formation energy (eV per formula unit) = -0.3

Cell lengths 6.1176, 6.1176, 9.7175 Å; angles 90.00, 90.00, 120.00 degrees
Positions (direct):
Li 0.0000 0.0000 0.0000
Li 0.0000 0.0000 0.5000
Sm 0.3333 0.6667 0.0706
Sm 0.3333 0.6667 0.4294
Sm 0.6667 0.3333 0.5706
Sm 0.6667 0.3333 0.9294
Mg 0.1691 0.3381 0.7500
Mg 0.1691 0.8309 0.7500
Mg 0.3381 0.1691 0.2500
Mg 0.6619 0.8309 0.7500
Mg 0.8309 0.1691 0.2500
Mg 0.8309 0.6619 0.2500